The following is a DFT calculation (PBE) of a geometry-optimized HfPPd structure.

Lattice parameters (Å, degrees): 6.661 3.776 11.358 90.00 90.77 90.00
Fractional positions:
Hf: 0.037 0.250 0.114
Hf: 0.163 0.250 0.422
Hf: 0.445 0.750 0.788
Hf: 0.555 0.250 0.212
Hf: 0.837 0.750 0.578
Hf: 0.963 0.750 0.886
P: 0.243 0.750 0.585
P: 0.248 0.250 0.906
P: 0.252 0.750 0.250
P: 0.748 0.250 0.750
P: 0.752 0.750 0.094
P: 0.757 0.250 0.415
Pd: 0.098 0.250 0.700
Pd: 0.350 0.750 0.043
Pd: 0.499 0.750 0.409
Pd: 0.501 0.250 0.591
Pd: 0.650 0.250 0.957
Pd: 0.902 0.750 0.300

Results
- Size of the total moment: 0.0000 μB/atom
- D(E_F): 0.44 states/eV/atom
- Formation energy: -2.94 eV per formula unit